Density functional theory data (PBE-GGA) for crystalline CeMnGaPt3 at its relaxed geometry.

Results
The energy of formation from the pure elements comes out at -0.473 eV per atom. The total energy is -6.515 eV per atom. As for the crystal system: orthorhombic. The calculation puts the total magnetization at 10.214 μB per cell. As for the space-group type: No. 63. The calculation puts the density of states at the Fermi level at 7.785 states/eV/f.u.

Cell: 8.6077 8.6077 5.6605 Å, 90.00 90.00 141.57°
Closest atoms and distances in Å follow each position.
Fractional positions:
Ce1 0.2120 0.7880 0.7500  4 Pt 2.88-2.92
Ce2 0.7880 0.2120 0.2500  4 Pt 2.88-2.92
Mn1 0.4007 0.5993 0.2500  5 Pt 2.54-2.56
Mn2 0.5993 0.4007 0.7500  5 Pt 2.54-2.56
Ga1 0.0925 0.9075 0.2500  5 Pt 2.47-2.51
Ga2 0.9075 0.0925 0.7500  5 Pt 2.47-2.51
Pt1 0.2447 0.7553 0.2500  1 Ga 2.47, 1 Mn 2.54
Pt2 0.2529 0.2529 0.0000  2 Ga 2.51, 2 Mn 2.56, 1 Pt 2.80
Pt3 0.2529 0.2529 0.5000  2 Ga 2.51, 2 Mn 2.56, 1 Pt 2.80
Pt4 0.7471 0.7471 0.0000  2 Ga 2.51, 2 Mn 2.56, 1 Pt 2.80
Pt5 0.7471 0.7471 0.5000  2 Ga 2.51, 2 Mn 2.56, 1 Pt 2.80
Pt6 0.7553 0.2447 0.7500  1 Ga 2.47, 1 Mn 2.54

Density functional theory data (PBE-GGA) for crystalline CePuMnGa at its relaxed geometry.

Results
The energy of formation from the pure elements comes out at -0.171 eV per atom. The total energy is -8.286 eV per atom. As for the crystal system: cubic. The calculation puts the total magnetization at 4.012 μB per cell. As for the space-group type: No. 216. The calculation puts the density of states at the Fermi level at 8.044 states/eV/f.u.

Cell: 4.7997 4.7997 4.7997 Å, 60.00 60.00 60.00°
Closest atoms and distances in Å follow each position.
Fractional positions:
Ce1 0.0000 0.0000 0.0000  4 Pu 2.94, 4 Ga 2.94
Pu1 0.7500 0.7500 0.7500  4 Mn 2.94, 4 Ce 2.94
Mn1 0.5000 0.5000 0.5000  4 Pu 2.94, 4 Ga 2.94
Ga1 0.2500 0.2500 0.2500  4 Mn 2.94, 4 Ce 2.94

Density functional theory data (PBE-GGA) for crystalline CeTmMnGa at its relaxed geometry.

Results
The energy of formation from the pure elements comes out at -0.136 eV per atom. The total energy is -5.787 eV per atom. As for the crystal system: cubic. The calculation puts the total magnetization at 2.389 μB per cell. As for the space-group type: No. 216. The calculation puts the density of states at the Fermi level at 5.177 states/eV/f.u.

Cell: 5.0122 5.0122 5.0122 Å, 60.00 60.00 60.00°
Closest atoms and distances in Å follow each position.
Fractional positions:
Ce1 0.0000 0.0000 0.0000  4 Mn 3.07, 4 Ga 3.07
Tm1 0.5000 0.5000 0.5000  4 Mn 3.07, 4 Ga 3.07
Mn1 0.7500 0.7500 0.7500  4 Ce 3.07, 4 Tm 3.07
Ga1 0.2500 0.2500 0.2500  4 Ce 3.07, 4 Tm 3.07

Density functional theory data (PBE-GGA) for crystalline CeMnZnGa at its relaxed geometry.

Results
The energy of formation from the pure elements comes out at -0.143 eV per atom. The total energy is -4.994 eV per atom. As for the crystal system: cubic. The calculation puts the total magnetization at 3.073 μB per cell. As for the space-group type: No. 216. The calculation puts the density of states at the Fermi level at 5.576 states/eV/f.u.

Cell: 4.7808 4.7808 4.7808 Å, 60.00 60.00 60.00°
Closest atoms and distances in Å follow each position.
Fractional positions:
Ce1 0.0000 0.0000 0.0000  4 Zn 2.93, 4 Ga 2.93
Mn1 0.5000 0.5000 0.5000  4 Ga 2.93, 4 Zn 2.93
Zn1 0.2500 0.2500 0.2500  4 Mn 2.93, 4 Ce 2.93
Ga1 0.7500 0.7500 0.7500  4 Mn 2.93, 4 Ce 2.93

Density functional theory data (PBE-GGA) for crystalline Ce2Ga3Mo at its relaxed geometry.

Results
The energy of formation from the pure elements comes out at -0.410 eV per atom. The total energy is -5.707 eV per atom. As for the crystal system: trigonal. The calculation puts the total magnetization at 0.001 μB per cell. As for the space-group type: No. 166. The calculation puts the density of states at the Fermi level at 6.231 states/eV/f.u.

Cell: 5.5327 5.5327 5.5327 Å, 59.62 59.62 59.62°
Closest atoms and distances in Å follow each position.
Fractional positions:
Ce1 0.1305 0.1305 0.1305  9 Ga 3.18-3.27, 3 Mo 3.21, 4 Ce 3.32-3.55
Ce2 0.8695 0.8695 0.8695  9 Ga 3.18-3.27, 3 Mo 3.21, 4 Ce 3.32-3.55
Ga1 0.0000 0.5000 0.5000  4 Ga 2.75, 2 Mo 2.77
Ga2 0.5000 0.0000 0.5000  4 Ga 2.75, 2 Mo 2.77
Ga3 0.5000 0.5000 0.0000  4 Ga 2.75, 2 Mo 2.77
Mo1 0.5000 0.5000 0.5000  6 Ga 2.77

Density functional theory data (PBE-GGA) for crystalline CeGa3Mo at its relaxed geometry.

Results
The energy of formation from the pure elements comes out at -0.395 eV per atom. The total energy is -5.564 eV per atom. As for the crystal system: hexagonal. The calculation puts the total magnetization at 0.577 μB per cell. As for the space-group type: No. 194. The calculation puts the density of states at the Fermi level at 3.959 states/eV/f.u.

Cell: 6.3433 6.3433 5.6373 Å, 90.00 90.00 120.00°
Closest atoms and distances in Å follow each position.
Fractional positions:
Ce1 0.3333 0.6667 0.2500  12 Ga 3.19
Ce2 0.6667 0.3333 0.7500  12 Ga 3.19
Ga1 0.1967 0.3933 0.7500  2 Mo 2.58, 2 Ga 2.60
Ga2 0.1967 0.8033 0.7500  2 Mo 2.58, 2 Ga 2.60
Ga3 0.3933 0.1967 0.2500  2 Mo 2.58, 2 Ga 2.60
Ga4 0.6067 0.8033 0.7500  2 Mo 2.58, 2 Ga 2.60
Ga5 0.8033 0.1967 0.2500  2 Mo 2.58, 2 Ga 2.60
Ga6 0.8033 0.6067 0.2500  2 Mo 2.58, 2 Ga 2.60
Mo1 0.0000 0.0000 0.0000  6 Ga 2.58, 2 Mo 2.82
Mo2 0.0000 0.0000 0.5000  6 Ga 2.58, 2 Mo 2.82

Density functional theory data (PBE-GGA) for crystalline CeGa2Mo at its relaxed geometry.

Results
The energy of formation from the pure elements comes out at -0.071 eV per atom. The total energy is -5.776 eV per atom. As for the crystal system: trigonal. The calculation puts the total magnetization at 0.000 μB per cell. As for the space-group type: No. 166. The calculation puts the density of states at the Fermi level at 3.906 states/eV/f.u.

Cell: 9.8686 9.8686 9.8686 Å, 17.30 17.30 17.30°
Closest atoms and distances in Å follow each position.
Fractional positions:
Ce1 0.0000 0.0000 0.0000  6 Ce 2.97, 6 Ga 3.21
Ga1 0.2403 0.2403 0.2403  3 Mo 2.75, 6 Ga 2.97
Ga2 0.7597 0.7597 0.7597  3 Mo 2.75, 6 Ga 2.97
Mo1 0.5000 0.5000 0.5000  6 Ga 2.75, 6 Mo 2.97

Density functional theory data (PBE-GGA) for crystalline Ce2GaMo at its relaxed geometry.

Results
Its excess energy over the best structure of this formula in the dataset is 0.000 eV/atom. The energy of formation from the pure elements comes out at -0.053 eV per atom. The total energy is -6.484 eV per atom. As for the crystal system: tetragonal. The calculation puts the total magnetization at 0.000 μB per cell. As for the space-group type: No. 123. The calculation puts the density of states at the Fermi level at 8.306 states/eV/f.u.

Cell: 4.4507 4.4507 4.2992 Å, 90.00 90.00 90.00°
Closest atoms and distances in Å follow each position.
Fractional positions:
Ce1 0.0000 0.5000 0.0000  4 Mo 3.09, 4 Ga 3.09, 4 Ce 3.15
Ce2 0.5000 0.0000 0.0000  4 Mo 3.09, 4 Ga 3.09, 4 Ce 3.15
Ga1 0.0000 0.0000 0.5000  8 Ce 3.09, 4 Mo 3.15
Mo1 0.5000 0.5000 0.5000  8 Ce 3.09, 4 Ga 3.15

Density functional theory data (PBE-GGA) for crystalline Ce2GaMo at its relaxed geometry.

Results
Its excess energy over the best structure of this formula in the dataset is 0.316 eV/atom. The energy of formation from the pure elements comes out at 0.263 eV per atom. The total energy is -6.168 eV per atom. As for the crystal system: trigonal. The calculation puts the total magnetization at 0.000 μB per cell. As for the space-group type: No. 166. The calculation puts the density of states at the Fermi level at 5.845 states/eV/f.u.

Cell: 10.9066 10.9066 10.9066 Å, 15.86 15.86 15.86°
Closest atoms and distances in Å follow each position.
Fractional positions:
Ce1 0.0837 0.0837 0.0837  1 Mo 2.71, 6 Ce 3.01
Ce2 0.9163 0.9163 0.9163  1 Mo 2.71, 6 Ce 3.01
Ga1 0.5000 0.5000 0.5000  6 Ga 3.01, 6 Ce 3.19
Mo1 0.0000 0.0000 0.0000  2 Ce 2.71, 6 Mo 3.01

Density functional theory data (PBE-GGA) for crystalline CePaGaMo at its relaxed geometry.

Results
The energy of formation from the pure elements comes out at 0.032 eV per atom. The total energy is -7.290 eV per atom. As for the crystal system: cubic. The calculation puts the total magnetization at 0.000 μB per cell. As for the space-group type: No. 216. The calculation puts the density of states at the Fermi level at 5.973 states/eV/f.u.

Cell: 4.9989 4.9989 4.9989 Å, 60.00 60.00 60.00°
Closest atoms and distances in Å follow each position.
Fractional positions:
Ce1 0.0000 0.0000 0.0000  4 Ga 3.06, 4 Mo 3.06
Pa1 0.5000 0.5000 0.5000  4 Ga 3.06, 4 Mo 3.06
Ga1 0.7500 0.7500 0.7500  4 Ce 3.06, 4 Pa 3.06
Mo1 0.2500 0.2500 0.2500  4 Ce 3.06, 4 Pa 3.06

Density functional theory data (PBE-GGA) for crystalline CeGaN2 at its relaxed geometry.

Results
The total energy is -6.306 eV per atom. As for the crystal system: trigonal. The calculation puts the total magnetization at 0.389 μB per cell. As for the space-group type: No. 166. As for the uncorrected formation energy: 0.0973 eV per atom. The calculation puts the density of states at the Fermi level at 4.155 states/eV/f.u.

Cell: 6.4425 6.4425 6.4425 Å, 29.75 29.75 29.75°
Closest atoms and distances in Å follow each position.
Fractional positions:
Ce1 0.0000 0.0000 0.0000  2 N 2.06
Ga1 0.5000 0.5000 0.5000  6 N 2.16
N1 0.1116 0.1116 0.1116  1 Ce 2.06, 3 Ga 2.16
N2 0.8884 0.8884 0.8884  1 Ce 2.06, 3 Ga 2.16

Density functional theory data (PBE-GGA) for crystalline Ce12Ga6N at its relaxed geometry.

Results
The total energy is -5.438 eV per atom. As for the crystal system: trigonal. The calculation puts the total magnetization at 5.467 μB per cell. As for the space-group type: No. 148. As for the uncorrected formation energy: -0.2958 eV per atom. The calculation puts the density of states at the Fermi level at 46.318 states/eV/f.u.

Cell: 7.8945 7.8945 7.8945 Å, 94.30 94.30 94.30°
Closest atoms and distances in Å follow each position.
Fractional positions:
Ce1 0.0189 0.3081 0.0832  1 N 2.46
Ce2 0.0832 0.0189 0.3081  1 N 2.46
Ce3 0.2343 0.5923 0.4595  2 Ce 2.76, 2 Ga 2.90-2.98
Ce4 0.3081 0.0832 0.0189  1 N 2.46
Ce5 0.4077 0.5405 0.7657  2 Ce 2.76, 2 Ga 2.90-2.98
Ce6 0.4595 0.2343 0.5923  2 Ce 2.76, 2 Ga 2.90-2.98
Ce7 0.5405 0.7657 0.4077  2 Ce 2.76, 2 Ga 2.90-2.98
Ce8 0.5923 0.4595 0.2343  2 Ce 2.76, 2 Ga 2.90-2.98
Ce9 0.6919 0.9168 0.9811  1 N 2.46
Ce10 0.7657 0.4077 0.5405  2 Ce 2.76, 2 Ga 2.90-2.98
Ce11 0.9168 0.9811 0.6919  1 N 2.46
Ce12 0.9811 0.6919 0.9168  1 N 2.46
Ga1 0.1000 0.3144 0.6917  6 Ce 2.90-3.21
Ga2 0.3083 0.9000 0.6856  6 Ce 2.90-3.21
Ga3 0.3144 0.6917 0.1000  6 Ce 2.90-3.21
Ga4 0.6856 0.3083 0.9000  6 Ce 2.90-3.21
Ga5 0.6917 0.1000 0.3144  6 Ce 2.90-3.21
Ga6 0.9000 0.6856 0.3083  6 Ce 2.90-3.21
N1 0.0000 0.0000 0.0000  6 Ce 2.46